The following is a DFT calculation (PBE+U) of crystalline FeHg3F at its relaxed geometry.

Results
Excess energy over the best structure of this formula in the dataset = 413 meV/atom
Fermi-level density of states = 8.7 states/eV per cell
Crystal system = cubic
Symmetry = Pm-3m

a = 4.9663 Å, b = 4.9663 Å, c = 4.9663 Å
α = 90.00°, β = 90.00°, γ = 90.00°
Positions (direct):
Hg (0.5000, 0.0000, 0.0000)
Hg (0.0000, 0.0000, 0.5000)
F (0.0000, 0.0000, 0.0000)
Fe (0.5000, 0.5000, 0.5000)
Hg (0.0000, 0.5000, 0.0000)